{"formula": "YSeS2", "functional": "PBE-GGA", "state": "relaxed", "polymorph_energy_kj_per_mol_fu": 174, "energy_ry_per_atom": -0.376, "formation_energy_uncorrected_kj_per_mol_fu": -218, "sg": "Fm-3m, No. 225", "lattice": [[0.000, 3.426, 3.426], [3.426, 0.000, 3.426], [3.426, 3.426, 0.000]], "species": ["Y", "S", "S", "Se"], "fractional_positions": [[0.500, 0.500, 0.500], [0.250, 0.250, 0.250], [0.750, 0.750, 0.750], [0.000, 0.000, 0.000]]}

{"formula": "TlAgGe", "functional": "PBE-GGA", "state": "relaxed", "energy_ry_per_atom": -0.229, "formation_enthalpy_0k_mev_per_atom": 162, "sg": "P1, No. 1", "lattice": [[-5.920, 0.428, -0.840], [-0.437, 0.073, 3.171], [3.713, 6.926, -1.341]], "species": ["Tl", "Tl", "Ge", "Ge", "Ag", "Ag"], "fractional_positions": [[0.947, 0.639, 0.290], [0.323, 0.007, 0.039], [0.380, 0.300, 0.657], [0.737, 0.915, 0.873], [0.939, 0.313, 0.669], [0.523, 0.681, 0.423]]}

{"formula": "LiSc4Pd5", "functional": "PBE-GGA", "state": "relaxed", "energy_ry_per_atom": -0.453, "formation_enthalpy_0k_mev_per_atom": -845, "sg": "P4/mmm, No. 123", "lattice": [[3.278, 0.000, 0.000], [0.000, 3.278, 0.000], [0.000, 0.000, 16.052]], "species": ["Li", "Sc", "Sc", "Sc", "Sc", "Pd", "Pd", "Pd", "Pd", "Pd"], "fractional_positions": [[0.000, 0.000, 0.000], [0.000, 0.000, 0.183], [0.000, 0.000, 0.394], [0.000, 0.000, 0.606], [0.000, 0.000, 0.817], [0.500, 0.500, 0.089], [0.500, 0.500, 0.290], [0.500, 0.500, 0.500], [0.500, 0.500, 0.710], [0.500, 0.500, 0.911]]}

{"formula": "Sm4As2PSe", "functional": "PBE-GGA", "state": "relaxed", "energy_ry_per_atom": -0.463, "formation_energy_uncorrected_kj_per_mol_fu": -1286, "sg": "P2/m, No. 10", "lattice": [[4.178, 0.000, 0.000], [0.000, 7.224, -0.145], [0.000, 2.540, 6.785]], "species": ["Sm", "Sm", "Sm", "Sm", "As", "As", "P", "Se"], "fractional_positions": [[0.000, 0.753, 0.741], [0.000, 0.247, 0.259], [0.500, 0.748, 0.257], [0.500, 0.252, 0.743], [0.000, 0.000, 0.000], [0.500, 0.000, 0.500], [0.000, 0.500, 0.500], [0.500, 0.500, 0.000]]}